MgCdOs | PBE | optimized geometry

```
MgCdOs
1.0
2.8523 0.0000 0.0000
0.0000 2.8523 0.0000
0.0000 0.0000 13.1130
Mg Cd Os
2 2 2
Cartesian
0.0000 0.0000 0.0000
1.4261 1.4261 6.5565
0.0000 0.0000 9.0566
1.4261 1.4261 2.5001
0.0000 0.0000 4.6459
1.4261 1.4261 11.2024
```

Output
* E above lowest polymorph: 0.0554 eV per atom
* total magnetic moment: 0.0 μB/cell
* formation energy from the elements: 1.2 eV per formula unit
* D(E_F): 0.873 states/eV/atom